1.
Here is a relaxed CeGe2Pt crystal from Alexandria. Energies are from PBE.

The structure in extended XYZ format:
```
16
Lattice="7.002 0.000 0.000 0.000 4.377 0.000 0.000 0.000 10.727" Properties=species:S:1:pos:R:3 pbc="T T T"
Ce 1.272 1.094 1.440
Ce 2.229 3.283 6.804
Ce 4.773 1.094 3.924
Ce 5.730 3.283 9.287
Ge 0.925 1.094 9.151
Ge 1.169 1.094 4.644
Ge 2.332 3.283 10.007
Ge 2.576 3.283 3.788
Ge 4.426 1.094 6.940
Ge 4.670 1.094 0.720
Ge 5.833 3.283 6.084
Ge 6.077 3.283 1.576
Pt 0.016 3.283 3.827
Pt 3.485 1.094 9.190
Pt 3.517 3.283 1.537
Pt 6.986 1.094 6.901
```

Computed properties:
D(E_F) = 5.647 states/eV/f.u.
spin magnetization = 2.3 μB per cell
ΔH_f (0 K) = -0.809 eV per atom
energy = -6.111 eV/atom

***

2.
Here is a relaxed Nb2PbC crystal from Alexandria. Energies are from PBE.

The structure in extended XYZ format:
```
8
Lattice="-3.361 3.361 3.164 3.361 -3.361 3.164 3.361 3.361 -3.164" Properties=species:S:1:pos:R:3 pbc="T T T"
Nb 5.042 1.008 -0.791
Nb 1.008 1.681 0.791
Nb -1.681 2.353 2.373
Nb 2.353 1.681 3.955
Pb 3.361 0.000 1.582
Pb 0.000 0.000 3.164
C 0.000 0.000 0.000
C 0.000 3.361 1.582
```

Computed properties:
D(E_F) = 0.982 states/eV/f.u.
spin magnetization = 0.0 μB per cell
ΔH_f (0 K) = 0.341 eV per atom
energy = -7.927 eV/atom

***

3.
Here is a relaxed Pr5Dy5Tm2 crystal from Alexandria. Energies are from PBE.

The structure in extended XYZ format:
```
12
Lattice="7.667 -2.547 0.000 7.667 2.547 0.000 -5.103 0.000 10.175" Properties=species:S:1:pos:R:3 pbc="T T T"
Pr 0.000 0.000 0.000
Pr -2.563 0.000 7.602
Pr 2.535 0.000 2.568
Pr 7.696 0.000 7.607
Pr 12.794 0.000 2.573
Dy 5.104 0.000 0.002
Dy 2.556 0.000 7.591
Dy 5.115 0.000 5.088
Dy 7.675 0.000 2.584
Dy 5.127 0.000 10.173
Tm 0.016 0.000 5.079
Tm 10.215 0.000 5.096
```

Computed properties:
D(E_F) = 17.335 states/eV/f.u.
spin magnetization = 0.0 μB per cell
ΔH_f (0 K) = 0.021 eV per atom
energy = -4.633 eV/atom

***

4.
Here is a relaxed LaCuAu3 crystal from Alexandria. Energies are from PBE.

The structure in extended XYZ format:
```
10
Lattice="-2.742 4.652 4.381 2.742 -4.652 4.381 2.742 4.652 -4.381" Properties=species:S:1:pos:R:3 pbc="T T T"
La 0.000 2.326 0.284
La 2.742 2.326 4.098
Cu 2.742 0.000 0.000
Cu 0.000 0.000 4.381
Au 2.742 2.326 -1.309
Au 1.371 4.827 -2.191
Au 1.371 0.175 2.191
Au -1.371 4.477 2.191
Au 1.371 4.477 2.191
Au 0.000 2.326 5.690
```

Computed properties:
D(E_F) = 2.728 states/eV/f.u.
spin magnetization = 0.0 μB per cell
E above lowest polymorph = 5.6 kJ per mole of atoms
ΔH_f (0 K) = -0.410 eV per atom
energy = -4.181 eV/atom

***

5.
Here is a relaxed P2Au crystal from Alexandria. Energies are from PBE.

The structure in extended XYZ format:
```
3
Lattice="0.000 3.057 3.057 3.057 0.000 3.057 3.057 3.057 0.000" Properties=species:S:1:pos:R:3 pbc="T T T"
P 1.528 1.528 1.528
P 4.585 4.585 4.585
Au 0.000 0.000 0.000
```

Computed properties:
D(E_F) = 1.011 states/eV/f.u.
spin magnetization = 0.0 μB per cell
ΔH_f (0 K) = 0.499 eV per atom
energy = -4.200 eV/atom

***

6.
Here is a relaxed TbCe3Pm2As6 crystal from Alexandria. Energies are from PBE.

The structure in extended XYZ format:
```
12
Lattice="3.647 -6.316 0.000 3.647 6.316 0.000 -2.433 0.000 6.871" Properties=species:S:1:pos:R:3 pbc="T T T"
Tb 0.000 0.000 0.000
Ce 2.430 4.201 3.436
Ce 2.430 0.000 3.436
Ce 2.430 -4.201 3.436
Pm 3.647 2.102 0.000
Pm 3.647 -2.102 0.000
As 1.202 2.084 1.727
As -0.027 0.000 5.138
As 1.202 -2.084 1.727
As 3.659 2.084 5.145
As 4.888 0.000 1.733
As 3.659 -2.084 5.145
```

Computed properties:
D(E_F) = 16.641 states/eV/f.u.
spin magnetization = 1.9 μB per cell
ΔH_f (0 K) = -1.482 eV per atom
energy = -6.468 eV/atom

***

7.
Here is a relaxed CuSi2Hg crystal from Alexandria. Energies are from PBE.

The structure in extended XYZ format:
```
4
Lattice="-2.071 2.071 3.927 2.071 -2.071 3.927 2.071 2.071 -3.927" Properties=species:S:1:pos:R:3 pbc="T T T"
Cu 0.000 0.000 0.000
Si 0.000 0.000 3.927
Si 0.000 2.071 1.963
Hg 2.071 0.000 1.963
```

Computed properties:
D(E_F) = 1.222 states/eV/f.u.
spin magnetization = 0.0 μB per cell
energy = -3.276 eV/atom

***

8.
Here is a relaxed TbAlBi2O6 crystal from Alexandria. Energies are from PBE.

The structure in extended XYZ format:
```
20
Lattice="5.518 0.000 0.000 0.000 5.954 0.000 -5.454 0.000 8.076" Properties=species:S:1:pos:R:3 pbc="T T T"
Tb 0.000 0.000 0.000
Tb -2.727 2.977 4.038
Al 0.032 0.000 4.038
Al 2.759 2.977 0.000
Bi -2.768 0.268 5.975
Bi -0.041 2.708 1.937
Bi 0.105 3.245 6.139
Bi 2.832 5.685 2.101
O -1.614 1.015 3.690
O -4.341 1.962 7.728
O -0.903 4.275 3.543
O -3.630 4.655 7.581
O 0.621 0.255 2.191
O -2.106 2.722 6.229
O 2.170 3.231 1.848
O -0.557 5.699 5.886
O 3.695 1.298 0.495
O 0.968 1.678 4.533
O 4.405 3.991 0.348
O 1.678 4.939 4.386
```

Computed properties:
D(E_F) = 0.000 states/eV/f.u.
spin magnetization = 0.0 μB per cell
energy = -6.758 eV/atom